(1)
ZrSi2Hg | SCAN | PBEsol geometry

Calculated values
- offset from the most stable computed form (eV/f.u.) = 0.000
- space group = No. 119
- crystal system = tetragonal
- DOS at the Fermi energy (states/eV per atom) = 0.446
- formation energy from raw total energies (eV per atom) = -0.111

Lattice parameters (Å, degrees): 3.8711 3.8711 5.3506 111.21 111.21 90.00
Last column: nearest neighbours and their distance in Å.
Atoms (fractional coordinates):
Si 0.0000 0.0000 0.0000  4 Zr 2.74, 4 Hg 3.01, 4 Si 3.01
Hg 0.2500 0.7500 0.5000  8 Si 2.74-3.01, 4 Zr 3.01
Si 0.7500 0.2500 0.5000  4 Hg 2.74, 4 Zr 3.01, 4 Si 3.01
Zr 0.5000 0.5000 0.0000  8 Si 2.74-3.01, 4 Hg 3.01

***

(2)
Dy2MoO6 | SCAN | PBEsol geometry

Calculated values
- space group = No. 15
- crystal system = monoclinic
- DOS at the Fermi energy (states/eV per atom) = 0.000
- formation energy from raw total energies (eV per atom) = -3.243

Lattice parameters (Å, degrees): 5.3100 9.7802 9.7802 68.03 75.11 75.11
Last column: nearest neighbours and their distance in Å.
Atoms (fractional coordinates):
O 0.5787 0.4258 0.3914  4 Dy 2.16-2.35
O 0.0787 0.3914 0.4258  4 Dy 2.16-2.35
O 0.4848 0.9514 0.8888  1 Mo 1.78
Dy 0.8795 0.2150 0.4482  6 O 2.16-2.41
O 0.4213 0.5742 0.6086  4 Dy 2.16-2.35
O 0.7598 0.4336 0.0253  1 Mo 1.82
Dy 0.3795 0.4482 0.2150  6 O 2.16-2.41
Dy 0.7500 0.6077 0.3923  6 O 2.20-2.35
O 0.6400 0.1840 0.2873  1 Mo 1.79
O 0.1400 0.2873 0.1840  1 Mo 1.79
Dy 0.2500 0.3923 0.6077  6 O 2.20-2.35
O 0.8731 0.8837 0.3264  1 Mo 1.81
Mo 0.4368 0.9879 0.7035  4 O 1.78-1.82
O 0.3731 0.3264 0.8837  1 Mo 1.81
O 0.0822 0.6628 0.1908  1 Mo 2.17, 3 Dy 2.20-2.28
O 0.8600 0.7127 0.8160  1 Mo 1.79
O 0.2402 0.5664 0.9747  1 Mo 1.82
O 0.2598 0.0253 0.4336  1 Mo 1.82
O 0.9178 0.3372 0.8092  1 Mo 2.17, 3 Dy 2.20-2.28
O 0.0152 0.1112 0.0486  1 Mo 1.78
O 0.6269 0.6736 0.1163  1 Mo 1.81
Dy 0.2500 0.8649 0.1351  6 O 2.20-2.38
Dy 0.7500 0.1351 0.8649  6 O 2.20-2.38
Dy 0.6205 0.5518 0.7850  6 O 2.16-2.41
O 0.9848 0.8888 0.9514  1 Mo 1.78
O 0.1269 0.1163 0.6736  1 Mo 1.81
Mo 0.9368 0.7035 0.9879  4 O 1.78-1.82
O 0.7402 0.9747 0.5664  1 Mo 1.82
Mo 0.5632 0.0121 0.2965  4 O 1.78-1.82
O 0.3600 0.8160 0.7127  1 Mo 1.79
O 0.9213 0.6086 0.5742  4 Dy 2.16-2.35
Mo 0.0632 0.2965 0.0121  4 O 1.78-1.82
Dy 0.1205 0.7850 0.5518  6 O 2.16-2.41
O 0.4178 0.8092 0.3372  1 Mo 2.17, 3 Dy 2.20-2.28
O 0.5822 0.1908 0.6628  1 Mo 2.17, 3 Dy 2.20-2.28
O 0.5152 0.0486 0.1112  1 Mo 1.78

***

(3)
ZrZnTc | SCAN | PBEsol geometry

Calculated values
- energy of formation (eV per atom) = -0.122
- offset from the most stable computed form (eV/f.u.) = 0.000
- space group = No. 156
- crystal system = trigonal
- DOS at the Fermi energy (states/eV per atom) = 0.689

Lattice parameters (Å, degrees): 2.6816 4.5616 4.5616 120.00 90.00 90.00
Last column: nearest neighbours and their distance in Å.
Atoms (fractional coordinates):
Zn 0.7264 0.3333 0.6667  2 Zn 2.68, 3 Tc 2.71, 3 Zr 2.87
Tc 0.9722 0.0000 0.0000  2 Tc 2.68, 3 Zn 2.71, 3 Zr 2.78
Zr 0.3014 0.6667 0.3333  2 Zr 2.68, 3 Tc 2.78, 3 Zn 2.87

***

(4)
Tl2HgSb | SCAN | PBEsol geometry

Calculated values
- offset from the most stable computed form (eV/f.u.) = 0.134
- space group = No. 166
- crystal system = trigonal
- DOS at the Fermi energy (states/eV per atom) = 0.336
- formation energy from raw total energies (eV per atom) = 0.034

Lattice parameters (Å, degrees): 3.3795 3.3795 11.1010 81.24 81.24 60.00
Last column: nearest neighbours and their distance in Å.
Atoms (fractional coordinates):
Hg 0.5000 0.5000 0.5000  6 Tl 3.33, 6 Hg 3.38
Tl 0.7511 0.7511 0.7466  3 Hg 3.33, 6 Tl 3.38, 3 Sb 3.39
Tl 0.2489 0.2489 0.2534  3 Hg 3.33, 6 Tl 3.38, 3 Sb 3.39
Sb 0.0000 0.0000 0.0000  6 Sb 3.38, 6 Tl 3.39

***

(5)
MgCd2P | SCAN | PBEsol geometry

Calculated values
- energy of formation (eV per atom) = 0.171
- space group = No. 65
- crystal system = orthorhombic
- DOS at the Fermi energy (states/eV per atom) = 0.414

Lattice parameters (Å, degrees): 3.1012 3.1012 8.2510 90.00 90.00 94.02
Last column: nearest neighbours and their distance in Å.
Atoms (fractional coordinates):
Mg 0.5000 0.5000 0.5000  8 Cd 3.03-3.14, 4 Mg 3.10
Cd 0.0000 0.0000 0.7638  4 P 2.88-2.99, 4 Mg 3.03-3.14, 4 Cd 3.10
P 0.5000 0.5000 0.0000  8 Cd 2.88-2.99, 4 P 3.10
Cd 0.0000 0.0000 0.2362  4 P 2.88-2.99, 4 Mg 3.03-3.14, 4 Cd 3.10

***

(6)
La2Co5Ni5 | SCAN | PBEsol geometry

Calculated values
- energy of formation (eV per atom) = -0.073
- space group = No. 47
- crystal system = orthorhombic
- DOS at the Fermi energy (states/eV per atom) = 0.705

Lattice parameters (Å, degrees): 3.9330 4.9232 8.4587 90.00 90.00 90.00
Last column: nearest neighbours and their distance in Å.
Atoms (fractional coordinates):
Co 0.0000 0.5000 0.6588  2 Co 2.38, 4 Ni 2.44
La 0.0000 0.5000 0.0000  6 Co 2.83-2.89, 12 Ni 3.14-3.15
Ni 0.5000 0.2498 0.7499  5 Co 2.43-2.45, 3 Ni 2.45-2.46
Ni 0.5000 0.7502 0.2501  5 Co 2.43-2.45, 3 Ni 2.45-2.46
Co 0.0000 0.5000 0.3412  2 Co 2.38, 4 Ni 2.44
Ni 0.5000 0.7502 0.7499  5 Co 2.43-2.45, 3 Ni 2.45-2.46
Ni 0.5000 0.2498 0.2501  5 Co 2.43-2.45, 3 Ni 2.45-2.46
Ni 0.5000 0.0000 0.0000  4 Co 2.41, 4 Ni 2.45
Co 0.0000 0.0000 0.1657  6 Ni 2.41-2.43
Co 0.5000 0.5000 0.5000  4 Co 2.38, 4 Ni 2.45
La 0.0000 0.0000 0.5000  6 Co 2.80-2.83, 8 Ni 3.14
Co 0.0000 0.0000 0.8343  6 Ni 2.41-2.43

***

(7)
Mg3AsIr | SCAN | PBEsol geometry

Calculated values
- energy of formation (eV per atom) = 0.102
- space group = No. 221
- crystal system = cubic
- DOS at the Fermi energy (states/eV per atom) = 0.540

Lattice parameters (Å, degrees): 4.8593 4.8593 4.8593 90.00 90.00 90.00
Last column: nearest neighbours and their distance in Å.
Atoms (fractional coordinates):
Ir 0.0000 0.0000 0.0000  6 Mg 2.43
As 0.5000 0.5000 0.5000  12 Mg 3.44
Mg 0.0000 0.5000 0.0000  2 Ir 2.43
Mg 0.0000 0.0000 0.5000  2 Ir 2.43
Mg 0.5000 0.0000 0.0000  2 Ir 2.43

***

(8)
TiPbN2O | SCAN | PBEsol geometry

Calculated values
- space group = No. 123
- crystal system = tetragonal
- DOS at the Fermi energy (states/eV per atom) = 0.442
- formation energy from raw total energies (eV per atom) = 0.981

Lattice parameters (Å, degrees): 4.1200 4.1611 4.1611 90.00 90.00 90.00
Last column: nearest neighbours and their distance in Å.
Atoms (fractional coordinates):
N 0.0000 0.0000 0.5000  2 Pb 2.08
O 0.5000 0.0000 0.0000  2 Pb 2.06
Ti 0.5000 0.5000 0.5000  8 N 2.93, 4 O 2.94
Pb 0.0000 0.0000 0.0000  2 O 2.06, 4 N 2.08
N 0.0000 0.5000 0.0000  2 Pb 2.08

***

(9)
SrTaCr2 | SCAN | PBEsol geometry

Calculated values
- energy of formation (eV per atom) = 0.582
- space group = No. 99
- crystal system = tetragonal
- DOS at the Fermi energy (states/eV per atom) = 0.837

Lattice parameters (Å, degrees): 2.9648 2.9648 8.3959 90.00 90.00 90.00
Last column: nearest neighbours and their distance in Å.
Atoms (fractional coordinates):
Ta 0.5000 0.5000 0.8253  5 Cr 2.70-2.89, 4 Ta 2.96
Sr 0.0000 0.0000 0.4778  4 Sr 2.96
Cr 0.5000 0.5000 0.1692  4 Cr 2.41
Cr 0.0000 0.0000 0.0277  4 Cr 2.41

***

(10)
CaLa2Mg | SCAN | PBEsol geometry

Calculated values
- energy of formation (eV per atom) = 0.034
- space group = No. 160
- crystal system = trigonal
- DOS at the Fermi energy (states/eV per atom) = 1.009

Lattice parameters (Å, degrees): 3.6270 3.6270 11.8885 81.23 81.23 60.00
Last column: nearest neighbours and their distance in Å.
Atoms (fractional coordinates):
Ca 0.2446 0.2446 0.2661  3 Mg 3.46, 6 Ca 3.63, 3 La 3.84
La 0.0031 0.0031 0.9906  9 La 3.58-3.63, 3 Ca 3.84
La 0.7527 0.7527 0.7420  3 Mg 3.51, 9 La 3.58-3.63
Mg 0.4995 0.4995 0.5014  3 Ca 3.46, 3 La 3.51, 6 Mg 3.63

***

(11)
CsCa2MoOs | SCAN | PBEsol geometry

Calculated values
- energy of formation (eV per atom) = 2.289
- space group = No. 123
- crystal system = tetragonal
- DOS at the Fermi energy (states/eV per atom) = 0.614

Lattice parameters (Å, degrees): 4.9214 5.5273 5.5273 90.00 90.00 90.00
Last column: nearest neighbours and their distance in Å.
Atoms (fractional coordinates):
Ca 0.0000 0.0000 0.5000  2 Cs 2.76
Ca 0.0000 0.5000 0.0000  2 Cs 2.76
Mo 0.5000 0.5000 0.5000  8 Ca 3.70, 4 Os 3.91
Os 0.5000 0.0000 0.0000  2 Cs 2.46
Cs 0.0000 0.0000 0.0000  2 Os 2.46

***

(12)
MgCoP2 | SCAN | PBEsol geometry

Calculated values
- energy of formation (eV per atom) = 0.134
- space group = No. 47
- crystal system = orthorhombic
- DOS at the Fermi energy (states/eV per atom) = 0.455

Lattice parameters (Å, degrees): 3.4605 3.6884 4.1088 90.00 90.00 90.00
Last column: nearest neighbours and their distance in Å.
Atoms (fractional coordinates):
P 0.0000 0.0000 0.0000  4 Co 2.53, 4 Mg 2.69, 4 P 2.76
Co 0.5000 0.5000 0.0000  8 P 2.53-2.69, 4 Mg 2.76
Mg 0.5000 0.0000 0.5000  8 P 2.53-2.69, 4 Co 2.76
P 0.0000 0.5000 0.5000  4 Mg 2.53, 4 Co 2.69, 4 P 2.76

***

| no. | magnetic moment (μB per formula unit) |
| --- | --- |
| 1 | 0.00 |
| 2 | 0.00 |
| 3 | 0.00 |
| 4 | 0.00 |
| 5 | 0.00 |
| 6 | 9.49 |
| 7 | 0.00 |
| 8 | 0.14 |
| 9 | 1.43 |
| 10 | 0.04 |
| 11 | 4.43 |
| 12 | 1.25 |